Material: SrIrAu2
Method: DFT, PBE
State: relaxed

Cell: 6.9229 6.9229 6.9229 Å, 90.00 90.00 90.00°
Space group F-43m (No. 216)
Asymmetric unit:
Sr 0.0000 0.0000 0.0000
Ir 0.2500 0.2500 0.7500
Au 0.0000 0.0000 0.5000
Au 0.2500 0.2500 0.2500

Results
Size of the total moment: 0.0000 μB per atom
DFT formation energy: 0.16 eV/atom
DOS(E_F): 0.729 states/eV per atom
Raw total energy: -4.11 eV/atom
Distance to the lowest polymorph of the same formula: 364 meV per atom